(1)
VGeOF2 | PBE+U | optimized geometry

abc: 4.2653 4.2653 3.9894
angles: 90.00 90.00 90.00
Space group P4/mmm (No. 123)
Unique sites:
V  0.0000  0.0000  0.0000 x1
Ge  0.5000  0.5000  0.5000 x1
O  0.5000  0.5000  0.0000 x1
F  0.0000  0.5000  0.5000 x2

Computed properties:
energy relative to the lowest polymorph listed for this composition = 0.4839 eV/atom
N(E_F) = 1.64 states/eV/f.u.
magnetization = 3.606 μB per formula unit
E = -0.19287 hartree per atom

***

(2)
VGeOF2 | PBE+U | optimized geometry

abc: 3.7949 3.7949 5.8101
angles: 90.00 90.00 90.00
Space group P4/mmm (No. 123)
Unique sites:
V  0.0000  0.0000  0.0000 x1
Ge  0.0000  0.0000  0.5000 x1
O  0.5000  0.5000  0.0000 x1
F  0.0000  0.5000  0.5000 x2

Computed properties:
energy relative to the lowest polymorph listed for this composition = 0.8342 eV/atom
N(E_F) = 1.52 states/eV/f.u.
magnetization = 3.030 μB per formula unit
E = -0.18000 hartree per atom

***

(3)
GeWO2F | PBE+U | optimized geometry

abc: 4.0163 4.0163 4.0212
angles: 90.00 90.00 90.00
Space group P4/mmm (No. 123)
Unique sites:
Ge  0.0000  0.0000  0.0000 x1
W  0.5000  0.5000  0.5000 x1
O  0.0000  0.5000  0.0000 x2
F  0.0000  0.0000  0.5000 x1

Computed properties:
N(E_F) = 1.20 states/eV/f.u.
magnetization = 4.164 μB per formula unit
E = -0.19264 hartree per atom

***

(4)
GeWO2F | PBE+U | optimized geometry

abc: 4.0850 4.0850 4.2579
angles: 90.00 90.00 90.00
Space group P4/mmm (No. 123)
Unique sites:
Ge  0.0000  0.0000  0.0000 x1
W  0.5000  0.5000  0.5000 x1
O  0.0000  0.5000  0.5000 x2
F  0.5000  0.5000  0.0000 x1

Computed properties:
N(E_F) = 1.35 states/eV/f.u.
magnetization = 2.136 μB per formula unit
E = -0.21843 hartree per atom